First-principles (PBE-GGA) data for a relaxed structure of LaScTa2, as listed in Alexandria.

Output
Density of states at the Fermi level, states/eV/cell: 5.32
Energy of formation, kJ/mol of atoms: 46.0
SG: P4/mmm
ΔE to the lowest computed polymorph, kJ/mol of formula units: 104

Cell lengths 3.7042, 3.7042, 6.8834 Å; angles 90.00, 90.00, 90.00 degrees
Sites, in units of the cell vectors:
La (0.0000, 0.0000, 0.0000)
Sc (0.0000, 0.0000, 0.5000)
Ta (0.5000, 0.5000, 0.3069)
Ta (0.5000, 0.5000, 0.6931)